Below is a relaxed structure of Er3Co2Ge3, with properties calculated at the PBE level.

Values from the calculation:
* uncorrected energy: -5.955 eV/atom
* energy relative to the lowest polymorph listed for this composition: 0.0 kJ/mol of atoms
* space-group type: Cmcm
* energy relative to the elements: -0.736 eV per atom
* D(E_F): 10.4 states/eV/cell
* mass density: 9.34 g cm⁻³
* crystal system: orthorhombic

Unit cell a=4.153 b=5.562 c=13.903 alpha=90.00 beta=90.00 gamma=111.92
Sites, in units of the cell vectors:
Er (0.082, 0.164, 0.609)
Er (0.640, 0.281, 0.250)
Er (0.918, 0.836, 0.109)
Er (0.360, 0.719, 0.750)
Er (0.082, 0.164, 0.891)
Er (0.918, 0.836, 0.391)
Co (0.206, 0.412, 0.098)
Co (0.794, 0.588, 0.598)
Co (0.206, 0.412, 0.402)
Co (0.794, 0.588, 0.902)
Ge (0.629, 0.258, 0.461)
Ge (0.371, 0.742, 0.539)
Ge (0.661, 0.323, 0.750)
Ge (0.339, 0.677, 0.250)
Ge (0.629, 0.258, 0.039)
Ge (0.371, 0.742, 0.961)